1.
This record from Alexandria describes an optimized crystal structure of SrAlRu. The functional is PBE.

Unit cell a=4.866 b=4.866 c=4.866 alpha=60.00 beta=60.00 gamma=60.00
Site moments in Bohr magnetons follow the coordinates.
Atoms (fractional coordinates):
Ru 0.500 0.500 0.500  0.86
Sr 0.250 0.250 0.250  -0.01
Al 0.000 0.000 0.000  -0.01

Output
magnetic moment = 0.87 μB/f.u.
theoretical density = 4.4 g/cm3
electronic total energy = -10.675 eV/cell
energy of formation from the pure elements = 388.3 kJ/mol of formula units


2.
This record from Alexandria describes an optimized crystal structure of Cd2Bi4Pb5. The functional is PBE.

Unit cell a=8.463 b=8.463 c=9.620 alpha=84.43 beta=84.43 gamma=33.22
Atoms (fractional coordinates):
Bi 0.952 0.952 0.244
Pb 0.835 0.835 0.550
Pb 0.500 0.500 0.000
Pb 0.855 0.855 0.933
Bi 0.048 0.048 0.756
Pb 0.145 0.145 0.067
Cd 0.541 0.541 0.353
Bi 0.739 0.739 0.248
Pb 0.165 0.165 0.450
Bi 0.261 0.261 0.752
Cd 0.459 0.459 0.647

Output
magnetic moment = 0.00 μB/f.u.
theoretical density = 9.3 g/cm3
electronic total energy = -35.137 eV/cell
energy of formation from the pure elements = 73.2 kJ/mol of formula units


3.
This record from Alexandria describes an optimized crystal structure of VCuTcSb2. The functional is PBE.

Unit cell a=5.057 b=4.428 c=5.057 alpha=90.00 beta=90.00 gamma=90.00
Atoms (fractional coordinates):
V 0.000 0.000 0.000
Tc 0.000 0.500 0.000
Sb 0.000 0.000 0.500
Sb 0.500 0.000 0.000
Cu 0.500 0.500 0.500

Output
magnetic moment = 0.00 μB/f.u.
theoretical density = 6.7 g/cm3
electronic total energy = -26.872 eV/cell


4.
This record from Alexandria describes an optimized crystal structure of Cs2CuHg4. The functional is PBE.

Unit cell a=5.384 b=5.384 c=10.280 alpha=74.82 beta=74.82 gamma=90.00
Atoms (fractional coordinates):
Cu 0.000 0.000 0.000
Hg 0.860 0.860 0.281
Hg 0.500 0.000 0.000
Hg 0.000 0.500 0.000
Cs 0.351 0.351 0.299
Hg 0.140 0.140 0.719
Cs 0.649 0.649 0.701

Output
magnetic moment = 0.00 μB/f.u.
theoretical density = 6.8 g/cm3
electronic total energy = -7.840 eV/cell
energy of formation from the pure elements = -80.1 kJ/mol of formula units


5.
This record from Alexandria describes an optimized crystal structure of TbPuNp2Te5. The functional is PBE.

Unit cell a=5.508 b=5.508 c=11.745 alpha=90.00 beta=90.00 gamma=90.00
Site moments in Bohr magnetons follow the coordinates.
Atoms (fractional coordinates):
Np 0.500 0.500 0.679  4.50
Te 0.000 0.000 0.750  -0.08
Te 0.000 0.000 0.250  -0.08
Te 0.000 0.500 0.500  -0.05
Tb 0.000 0.000 0.500  0.05
Te 0.500 0.500 0.000  -0.09
Pu 0.000 0.000 0.000  5.55
Te 0.500 0.000 0.500  -0.05
Np 0.500 0.500 0.321  4.50

Output
magnetic moment = 14.95 μB/f.u.
theoretical density = 7.1 g/cm3
electronic total energy = -63.365 eV/cell


6.
This record from Alexandria describes an optimized crystal structure of Th2AlGa3Pt4. The functional is PBE.

Unit cell a=4.310 b=4.310 c=10.415 alpha=90.00 beta=90.00 gamma=90.00
Atoms (fractional coordinates):
Ga 0.000 0.000 0.500
Pt 0.500 0.500 0.000
Th 0.500 0.000 0.251
Ga 0.500 0.000 0.869
Al 0.500 0.500 0.500
Th 0.000 0.500 0.749
Pt 0.500 0.000 0.633
Pt 0.000 0.500 0.367
Ga 0.000 0.500 0.131
Pt 0.000 0.000 0.000

Output
magnetic moment = 0.00 μB/f.u.
theoretical density = 12.7 g/cm3
electronic total energy = -61.828 eV/cell
energy of formation from the pure elements = -965.1 kJ/mol of formula units


7.
This record from Alexandria describes an optimized crystal structure of K2HfMgSe. The functional is PBE.

Unit cell a=6.289 b=6.289 c=5.110 alpha=90.00 beta=90.00 gamma=90.00
Site moments in Bohr magnetons follow the coordinates.
Atoms (fractional coordinates):
K 0.000 0.500 0.000  0.02
Se 0.000 0.000 0.000  -0.03
Mg 0.500 0.500 0.500  0.01
K 0.500 0.000 0.000  0.02
Hf 0.000 0.000 0.500  0.80

Output
magnetic moment = 1.95 μB/f.u.
theoretical density = 3.0 g/cm3
electronic total energy = -16.526 eV/cell


8.
This record from Alexandria describes an optimized crystal structure of CrAgRh. The functional is PBE.

Unit cell a=6.050 b=6.050 c=6.050 alpha=152.81 beta=152.81 gamma=38.83
Site moments in Bohr magnetons follow the coordinates.
Atoms (fractional coordinates):
Rh 0.684 0.684 0.000  -0.11
Cr 0.318 0.318 0.000  2.54
Ag 0.998 0.998 0.000  0.05

Output
polymorph energy (0 for the lowest one) = 0.000 eV per atom
magnetic moment = 2.69 μB/f.u.
theoretical density = 9.5 g/cm3
electronic total energy = -19.187 eV/cell
energy of formation from the pure elements = 61.7 kJ/mol of formula units


9.
This record from Alexandria describes an optimized crystal structure of Er6C2Se3S. The functional is PBE.

Unit cell a=3.779 b=7.897 c=8.709 alpha=104.86 beta=102.53 gamma=90.00
Atoms (fractional coordinates):
C 0.169 0.334 0.337
S 0.500 0.000 0.000
Er 0.670 0.126 0.340
Er 0.330 0.874 0.660
C 0.831 0.666 0.663
Er 0.678 0.557 0.356
Se 0.161 0.834 0.321
Er 0.021 0.254 0.041
Se 0.839 0.166 0.679
Se 0.500 0.500 0.000
Er 0.322 0.443 0.644
Er 0.979 0.746 0.959

Output
magnetic moment = 0.00 μB/f.u.
theoretical density = 8.8 g/cm3
electronic total energy = -77.815 eV/cell


10.
This record from Alexandria describes an optimized crystal structure of RbScGa3. The functional is PBE.

Unit cell a=5.521 b=5.521 c=5.521 alpha=90.00 beta=90.00 gamma=90.00
Atoms (fractional coordinates):
Ga 0.000 0.000 0.500
Sc 0.500 0.500 0.500
Rb 0.000 0.000 0.000
Ga 0.000 0.500 0.000
Ga 0.500 0.000 0.000

Output
polymorph energy (0 for the lowest one) = 1.015 eV per atom
magnetic moment = 0.00 μB/f.u.
theoretical density = 3.4 g/cm3
electronic total energy = -10.200 eV/cell
energy of formation from the pure elements = 596.3 kJ/mol of formula units


11.
This record from Alexandria describes an optimized crystal structure of AcPm6Pr2Dy. The functional is PBE.

Unit cell a=9.840 b=9.128 c=9.128 alpha=118.29 beta=93.11 gamma=93.11
Atoms (fractional coordinates):
Pm 0.383 0.502 0.290
Ac 0.250 0.977 0.023
Pr 0.455 0.802 0.686
Pm 0.944 0.869 0.253
Pm 0.311 0.983 0.436
Pm 0.811 0.436 0.983
Pm 0.556 0.747 0.131
Ac 0.750 0.023 0.977
Dy 0.750 0.590 0.410
Pr 0.545 0.198 0.314
Pm 0.883 0.290 0.502
Pm 0.444 0.253 0.869
Pm 0.189 0.564 0.017
Pr 0.955 0.686 0.802
Pm 0.617 0.498 0.710
Dy 0.250 0.410 0.590
Pr 0.045 0.314 0.198
Pm 0.117 0.710 0.498
Pm 0.056 0.131 0.747
Pm 0.689 0.017 0.564

Output
magnetic moment = 0.00 μB/f.u.
theoretical density = 7.1 g/cm3
electronic total energy = -91.193 eV/cell
energy of formation from the pure elements = 113.5 kJ/mol of formula units


12.
This record from Alexandria describes an optimized crystal structure of LiCe3Te4. The functional is PBE.

Unit cell a=4.431 b=6.328 c=8.970 alpha=90.00 beta=90.00 gamma=90.00
Site moments in Bohr magnetons follow the coordinates.
Atoms (fractional coordinates):
Ce 0.500 0.500 0.252  0.94
Te 0.000 0.500 0.500  -0.02
Ce 0.000 0.000 0.500  1.02
Ce 0.500 0.500 0.748  0.94
Te 0.500 0.000 0.761  -0.02
Te 0.500 0.000 0.239  -0.02
Te 0.000 0.500 0.000  -0.02
Li 0.000 0.000 0.000  0.00

Output
magnetic moment = 3.33 μB/f.u.
theoretical density = 6.2 g/cm3
electronic total energy = -42.657 eV/cell


13.
This record from Alexandria describes an optimized crystal structure of Cd2InGa2Au7. The functional is PBE.

Unit cell a=4.041 b=4.041 c=15.706 alpha=86.66 beta=86.66 gamma=91.42
Atoms (fractional coordinates):
Cd 0.105 0.105 0.591
Au 0.063 0.559 0.848
Au 0.500 0.500 0.000
Au 0.559 0.063 0.848
Au 0.441 0.937 0.152
Au 0.937 0.441 0.152
Ga 0.404 0.404 0.262
Au 0.392 0.392 0.422
In 0.000 0.000 0.000
Ga 0.596 0.596 0.738
Au 0.608 0.608 0.578
Cd 0.895 0.895 0.409

Output
magnetic moment = 0.00 μB/f.u.
theoretical density = 12.1 g/cm3
electronic total energy = -34.690 eV/cell
energy of formation from the pure elements = -108.6 kJ/mol of formula units


14.
This record from Alexandria describes an optimized crystal structure of Dy4HgPt. The functional is PBE.

Unit cell a=7.031 b=7.105 c=7.226 alpha=90.00 beta=93.00 gamma=90.00
Atoms (fractional coordinates):
Dy 0.326 0.341 0.354
Pt 0.000 0.500 0.500
Dy 0.629 0.148 0.829
Dy 0.826 0.159 0.354
Pt 0.500 0.000 0.500
Dy 0.174 0.841 0.646
Dy 0.129 0.352 0.829
Hg 0.000 0.000 0.000
Dy 0.371 0.852 0.171
Hg 0.500 0.500 0.000
Dy 0.871 0.648 0.171
Dy 0.674 0.659 0.646

Output
polymorph energy (0 for the lowest one) = 0.200 eV per atom
magnetic moment = 0.00 μB/f.u.
theoretical density = 9.6 g/cm3
electronic total energy = -55.095 eV/cell
energy of formation from the pure elements = -269.8 kJ/mol of formula units


15.
This record from Alexandria describes an optimized crystal structure of ScZn2Ni4. The functional is PBE.

Unit cell a=4.900 b=4.976 c=4.976 alpha=76.00 beta=60.68 gamma=60.68
Atoms (fractional coordinates):
Ni 0.696 0.000 0.607
Zn 0.751 0.499 0.499
Zn 0.249 0.501 0.501
Ni 0.304 0.393 0.000
Ni 0.304 0.000 0.393
Ni 0.696 0.607 0.000
Sc 0.000 0.000 0.000

Output
magnetic moment = 0.00 μB/f.u.
theoretical density = 7.4 g/cm3
electronic total energy = -33.980 eV/cell
energy of formation from the pure elements = -190.6 kJ/mol of formula units


16.
This record from Alexandria describes an optimized crystal structure of LaB3I. The functional is PBE.

Unit cell a=4.507 b=4.507 c=4.507 alpha=90.00 beta=90.00 gamma=90.00
Atoms (fractional coordinates):
B 0.000 0.000 0.500
B 0.500 0.000 0.000
B 0.000 0.500 0.000
I 0.000 0.000 0.000
La 0.500 0.500 0.500

Output
polymorph energy (0 for the lowest one) = 0.000 eV per atom
magnetic moment = 0.00 μB/f.u.
theoretical density = 5.4 g/cm3
electronic total energy = -17.800 eV/cell


17.
This record from Alexandria describes an optimized crystal structure of Tb2TlGe. The functional is PBE.

Unit cell a=4.147 b=4.925 c=4.925 alpha=90.00 beta=90.00 gamma=90.00
Atoms (fractional coordinates):
Tl 0.500 0.000 0.000
Ge 0.500 0.500 0.500
Tb 0.000 0.000 0.500
Tb 0.000 0.500 0.000

Output
magnetic moment = 0.00 μB/f.u.
theoretical density = 9.8 g/cm3
electronic total energy = -18.138 eV/cell
energy of formation from the pure elements = -182.7 kJ/mol of formula units


18.
This record from Alexandria describes an optimized crystal structure of Sm3HoS4. The functional is PBE.

Unit cell a=6.903 b=6.928 c=7.897 alpha=90.00 beta=90.00 gamma=109.38
Atoms (fractional coordinates):
Sm 0.750 0.500 0.126
Ho 0.750 0.000 0.874
S 0.996 0.246 0.630
Sm 0.750 0.000 0.376
S 0.500 0.758 0.121
S 0.000 0.242 0.121
S 0.004 0.754 0.370
Ho 0.250 0.000 0.126
Sm 0.750 0.500 0.623
S 0.504 0.754 0.630
Sm 0.250 0.000 0.624
S 0.496 0.246 0.370
S 0.500 0.242 0.879
Sm 0.250 0.500 0.377
S 0.000 0.758 0.879
Sm 0.250 0.500 0.874

Output
polymorph energy (0 for the lowest one) = 0.007 eV per atom
magnetic moment = 0.00 μB/f.u.
theoretical density = 6.9 g/cm3
electronic total energy = -102.701 eV/cell


19.
This record from Alexandria describes an optimized crystal structure of LiCo2CuC. The functional is PBE.

Unit cell a=3.697 b=3.697 c=3.926 alpha=90.00 beta=90.00 gamma=90.00
Site moments in Bohr magnetons follow the coordinates.
Atoms (fractional coordinates):
Co 0.500 0.000 0.000  0.33
Co 0.000 0.500 0.000  0.33
Cu 0.000 0.000 0.500  0.02
C 0.000 0.000 0.000  -0.01
Li 0.500 0.500 0.500  -0.01

Output
polymorph energy (0 for the lowest one) = 0.000 eV per atom
magnetic moment = 0.61 μB/f.u.
theoretical density = 6.2 g/cm3
electronic total energy = -28.896 eV/cell
energy of formation from the pure elements = 53.0 kJ/mol of formula units


20.
This record from Alexandria describes an optimized crystal structure of Er2PuAg3Te6. The functional is PBE.

Unit cell a=4.450 b=10.450 c=8.901 alpha=105.17 beta=104.48 gamma=90.00
Site moments in Bohr magnetons follow the coordinates.
Atoms (fractional coordinates):
Ag 0.500 0.500 0.000  -0.01
Er 0.162 0.335 0.325  0.01
Te 0.342 0.468 0.684  -0.01
Te 0.691 0.146 0.383  -0.03
Ag 0.173 0.965 0.345  -0.01
Te 0.658 0.532 0.316  -0.01
Te 0.016 0.795 0.032  -0.08
Er 0.838 0.665 0.675  0.01
Te 0.984 0.205 0.968  -0.08
Te 0.309 0.854 0.617  -0.03
Pu 0.500 0.000 0.000  5.23
Ag 0.827 0.035 0.655  -0.01

Output
magnetic moment = 5.00 μB/f.u.
theoretical density = 7.2 g/cm3
electronic total energy = -60.006 eV/cell